P.
CaBe2Cl | PBE-GGA | relaxed

a b c (Å): 5.105 5.105 5.105
angles (deg): 130.89 130.89 71.99
Fractional coordinates of all 4 atoms:
Be 0.000 0.000 0.000
Be 0.250 0.750 0.500
Ca 0.500 0.500 0.000
Cl 0.750 0.250 0.500

Calculated values
**Total moment**: 0.0 Bohr magnetons per cell
**Density**: 2.1 g/cm3


Q.
CaBe2Cl | PBE-GGA | relaxed

a b c (Å): 6.358 6.358 6.358
angles (deg): 146.38 146.38 48.28
Fractional coordinates of all 4 atoms:
Be 0.000 0.000 0.000
Be 0.500 0.500 0.000
Ca 0.250 0.750 0.500
Cl 0.750 0.250 0.500

Calculated values
**Total moment**: 0.0 Bohr magnetons per cell
**Density**: 2.0 g/cm3


R.
CaBe2Cl | PBE-GGA | relaxed

a b c (Å): 4.358 4.563 4.928
angles (deg): 90.00 90.00 90.00
Fractional coordinates of all 4 atoms:
Be 0.000 0.000 0.984
Be 0.000 0.000 0.516
Ca 0.500 0.500 0.250
Cl 0.500 0.500 0.750

Calculated values
**Total moment**: 0.0 Bohr magnetons per cell
**Density**: 1.6 g/cm3


The structure with the least stability is R.


P.
Ca2BeCl | PBE-GGA | relaxed

a b c (Å): 5.345 5.345 5.345
angles (deg): 125.11 125.11 81.36
Fractional coordinates of all 4 atoms:
Be 0.750 0.250 0.500
Ca 0.000 0.000 0.000
Ca 0.500 0.500 0.000
Cl 0.250 0.750 0.500

Calculated values
**Total moment**: 0.0 Bohr magnetons per cell
**Density**: 2.1 g/cm3


Q.
Ca2BeCl | PBE-GGA | relaxed

a b c (Å): 5.789 5.789 5.789
angles (deg): 140.43 111.00 82.58
Fractional coordinates of all 4 atoms:
Be 0.250 0.750 0.500
Ca 0.981 0.981 0.000
Ca 0.519 0.519 0.000
Cl 0.750 0.250 0.500

Calculated values
**Total moment**: 0.0 Bohr magnetons per cell
**Density**: 1.9 g/cm3


The structure with the least stability is P.